Record 1
The following is a DFT calculation (PBE-GGA) of a relaxed structure of VCd2Re.

Values from the calculation:
The calculation puts the energy at -4.74 eV/atom. The crystal system is tetragonal. The value obtained for the energy above the most stable polymorph in this dataset is 0.320 eV/atom. The formation energy from the elements is 4.45 eV per formula unit. The value obtained for the theoretical density is 9.98 g cm⁻³.

Unit cell a=5.9914 b=5.9914 c=5.9914 alpha=101.47 beta=101.47 gamma=127.03
Closest atoms and distances in Å follow each position.
Element x y z (fractional)
V 0.0000 0.0000 0.0000  2 Re 2.67, 4 Cd 2.77
V 0.7500 0.2500 0.5000  2 Re 2.67, 4 Cd 2.77
Cd 0.1271 0.6250 0.0021  2 Cd 2.67, 2 Re 2.75, 2 V 2.77
Cd 0.3750 0.3771 0.5021  2 Cd 2.67, 2 Re 2.75, 2 V 2.77
Cd 0.6229 0.1250 0.9979  2 Cd 2.67, 2 Re 2.75, 2 V 2.77
Cd 0.8750 0.8729 0.4979  2 Cd 2.67, 2 Re 2.75, 2 V 2.77
Re 0.2500 0.7500 0.5000  2 V 2.67, 4 Cd 2.75
Re 0.5000 0.5000 0.0000  2 V 2.67, 4 Cd 2.75



Record 2
The following is a DFT calculation (PBE-GGA) of a relaxed structure of Sr2Ac3NdTe6.

Values from the calculation:
The calculation puts the energy at -4.82 eV/atom. The crystal system is monoclinic. The value obtained for the theoretical density is 6.71 g cm⁻³. The value obtained for the formation energy (no corrections) is -1.541 eV/atom.

Unit cell a=8.1014 b=8.1014 c=8.1601 alpha=99.55 beta=99.55 gamma=120.06
Closest atoms and distances in Å follow each position.
Element x y z (fractional)
Sr 0.1658 0.8342 0.0000  6 Te 3.29-3.31
Sr 0.8342 0.1658 0.0000  6 Te 3.29-3.31
Ac 0.0000 0.0000 0.5000  6 Te 3.35-3.37
Ac 0.3290 0.6710 0.5000  6 Te 3.35-3.36
Ac 0.6710 0.3290 0.5000  6 Te 3.35-3.36
Nd 0.5000 0.5000 0.0000  6 Te 3.23-3.26
Te 0.0921 0.4205 0.7610  1 Nd 3.23, 2 Sr 3.29, 3 Ac 3.35
Te 0.2541 0.2541 0.2463  1 Nd 3.26, 2 Sr 3.31, 3 Ac 3.36-3.37
Te 0.4205 0.0921 0.7610  1 Nd 3.23, 2 Sr 3.29, 3 Ac 3.35
Te 0.5795 0.9079 0.2390  1 Nd 3.23, 2 Sr 3.29, 3 Ac 3.35
Te 0.7459 0.7459 0.7537  1 Nd 3.26, 2 Sr 3.31, 3 Ac 3.36-3.37
Te 0.9079 0.5795 0.2390  1 Nd 3.23, 2 Sr 3.29, 3 Ac 3.35



Record 3
The following is a DFT calculation (PBE-GGA) of a relaxed structure of AcTmCoPd.

Values from the calculation:
The calculation puts the energy at -5.53 eV/atom. The crystal system is cubic. The formation energy from the elements is -1.23 eV per formula unit. The value obtained for the theoretical density is 10.26 g cm⁻³.

Unit cell a=5.0454 b=5.0454 c=5.0454 alpha=60.00 beta=60.00 gamma=60.00
Closest atoms and distances in Å follow each position.
Element x y z (fractional)
Ac 0.0000 0.0000 0.0000  4 Co 3.09, 4 Pd 3.09
Tm 0.5000 0.5000 0.5000  4 Pd 3.09, 4 Co 3.09
Co 0.2500 0.2500 0.2500  4 Tm 3.09, 4 Ac 3.09
Pd 0.7500 0.7500 0.7500  4 Ac 3.09, 4 Tm 3.09



Record 4
The following is a DFT calculation (PBE-GGA) of a relaxed structure of Li2GaSi.

Values from the calculation:
The calculation puts the energy at -3.07 eV/atom. The crystal system is trigonal. The value obtained for the energy above the most stable polymorph in this dataset is 0.211 eV/atom. The value obtained for the theoretical density is 2.80 g cm⁻³. The value obtained for the formation energy (no corrections) is 0.003 eV/atom.

Unit cell a=9.6094 b=9.6094 c=9.6094 alpha=17.00 beta=17.00 gamma=17.00
Closest atoms and distances in Å follow each position.
Element x y z (fractional)
Li 0.0934 0.0934 0.0934  3 Si 2.65, 1 Ga 2.65, 6 Li 2.84
Li 0.9066 0.9066 0.9066  3 Si 2.65, 1 Ga 2.65, 6 Li 2.84
Ga 0.0000 0.0000 0.0000  2 Li 2.65, 6 Ga 2.84
Si 0.5000 0.5000 0.5000  6 Li 2.65, 6 Si 2.84



Record 5
The following is a DFT calculation (PBE-GGA) of a relaxed structure of PrNi2PH.

Values from the calculation:
The calculation puts the energy at -5.78 eV/atom. The crystal system is orthorhombic. The value obtained for the theoretical density is 7.32 g cm⁻³.

Unit cell a=5.5397 b=5.5397 c=6.6724 alpha=90.00 beta=90.00 gamma=139.98
Closest atoms and distances in Å follow each position.
Element x y z (fractional)
Pr 0.0571 0.9429 0.7500  4 H 2.59
Pr 0.9429 0.0571 0.2500  4 H 2.59
Ni 0.3285 0.6715 0.5601  1 H 1.83
Ni 0.3285 0.6715 0.9399  1 H 1.83
Ni 0.6715 0.3285 0.0601  1 H 1.83
Ni 0.6715 0.3285 0.4399  1 H 1.83
P 0.2239 0.7761 0.2500  6 Ni 2.34
P 0.7761 0.2239 0.7500  6 Ni 2.34
H 0.5000 0.5000 0.0000  2 Ni 1.83
H 0.5000 0.5000 0.5000  2 Ni 1.83



Record 6
The following is a DFT calculation (PBE-GGA) of a relaxed structure of LaZn2Os.

Values from the calculation:
The calculation puts the energy at -4.46 eV/atom. The crystal system is tetragonal. The formation energy from the elements is 0.88 eV per formula unit. The value obtained for the theoretical density is 9.72 g cm⁻³.

Unit cell a=4.0755 b=4.0755 c=4.7325 alpha=90.00 beta=90.00 gamma=90.00
Closest atoms and distances in Å follow each position.
Element x y z (fractional)
La 0.0000 0.0000 0.0000  4 Os 2.88, 8 Zn 3.12
Zn 0.0000 0.5000 0.5000  4 Zn 2.88, 4 La 3.12, 4 Os 3.12
Zn 0.5000 0.0000 0.5000  4 Zn 2.88, 4 La 3.12, 4 Os 3.12
Os 0.5000 0.5000 0.0000  4 La 2.88, 8 Zn 3.12



Record 7
The following is a DFT calculation (PBE-GGA) of a relaxed structure of Zn2CoBr.

Values from the calculation:
The calculation puts the energy at -2.69 eV/atom. The crystal system is orthorhombic. The value obtained for the energy above the most stable polymorph in this dataset is 0.043 eV/atom. The value obtained for the theoretical density is 6.12 g cm⁻³. The value obtained for the formation energy (no corrections) is 0.139 eV/atom.

Unit cell a=6.5155 b=6.5155 c=6.5155 alpha=153.31 beta=143.80 gamma=45.54
Closest atoms and distances in Å follow each position.
Element x y z (fractional)
Zn 0.0000 0.0000 0.0000  4 Co 2.53, 2 Zn 2.64
Zn 0.6408 0.1408 0.5000  2 Co 2.46, 2 Zn 2.64
Co 0.4786 0.4786 0.0000  6 Zn 2.46-2.53, 2 Br 2.53
Br 0.3098 0.8098 0.5000  2 Co 2.53



Record 8
The following is a DFT calculation (PBE-GGA) of a relaxed structure of SrZnMo2Os.

Values from the calculation:
The calculation puts the energy at -5.58 eV/atom. The crystal system is tetragonal. The formation energy from the elements is 7.94 eV per formula unit. The value obtained for the theoretical density is 8.41 g cm⁻³.

Unit cell a=4.7310 b=4.7310 c=4.7232 alpha=90.00 beta=90.00 gamma=90.00
Closest atoms and distances in Å follow each position.
Element x y z (fractional)
Sr 0.0000 0.0000 0.0000  8 Mo 3.34, 4 Os 3.35
Zn 0.5000 0.5000 0.5000  2 Os 2.36, 4 Mo 2.37
Mo 0.0000 0.5000 0.5000  2 Zn 2.37
Mo 0.5000 0.0000 0.5000  2 Zn 2.37
Os 0.5000 0.5000 0.0000  2 Zn 2.36



Record 9
The following is a DFT calculation (PBE-GGA) of a relaxed structure of CsK2H2.

Values from the calculation:
The calculation puts the energy at -2.01 eV/atom. The crystal system is tetragonal. The value obtained for the energy above the most stable polymorph in this dataset is 0.000 eV/atom. The value obtained for the theoretical density is 1.75 g cm⁻³.

Unit cell a=8.3869 b=8.3869 c=8.3869 alpha=144.00 beta=144.00 gamma=51.83
Closest atoms and distances in Å follow each position.
Element x y z (fractional)
Cs 0.0000 0.0000 0.0000  10 K 4.52-4.75, 8 H 4.58
K 0.2995 0.2995 0.0000  4 H 2.70
K 0.7005 0.7005 0.0000  4 H 2.70
H 0.2500 0.7500 0.5000  4 K 2.70
H 0.7500 0.2500 0.5000  4 K 2.70



Record 10
The following is a DFT calculation (PBE-GGA) of a relaxed structure of Ba2PmPaAs4.

Values from the calculation:
The calculation puts the energy at -5.81 eV/atom. The crystal system is monoclinic. The formation energy from the elements is -9.80 eV per formula unit. The value obtained for the theoretical density is 6.35 g cm⁻³.

Unit cell a=7.5455 b=4.3949 c=7.9103 alpha=90.00 beta=108.63 gamma=90.00
Closest atoms and distances in Å follow each position.
Element x y z (fractional)
Ba 0.0000 0.0000 0.0000  6 As 3.40-3.42
Ba 0.5000 0.5000 0.0000  6 As 3.29-3.30
Pm 0.0000 0.5000 0.5000  6 As 3.02-3.03
Pa 0.5000 0.0000 0.5000  6 As 2.86-2.92
As 0.2517 0.0000 0.7085  1 Pa 2.86, 2 Pm 3.03
As 0.2773 0.5000 0.2963  2 Pa 2.92, 1 Pm 3.02
As 0.7227 0.5000 0.7037  2 Pa 2.92, 1 Pm 3.02
As 0.7483 0.0000 0.2915  1 Pa 2.86, 2 Pm 3.03



Record 11
The following is a DFT calculation (PBE-GGA) of a relaxed structure of BeSiPt.

Values from the calculation:
The calculation puts the energy at -5.20 eV/atom. The crystal system is trigonal. The value obtained for the energy above the most stable polymorph in this dataset is 0.397 eV/atom. The value obtained for the theoretical density is 9.55 g cm⁻³. The value obtained for the formation energy (no corrections) is -0.138 eV/atom.

Unit cell a=4.1010 b=4.1010 c=2.7732 alpha=90.00 beta=90.00 gamma=120.00
Closest atoms and distances in Å follow each position.
Element x y z (fractional)
Be 0.0000 0.0000 0.0000  6 Si 2.72-2.77, 6 Pt 2.72-2.77, 2 Be 2.77
Si 0.3333 0.6667 0.4810  3 Pt 2.37
Pt 0.6667 0.3333 0.4812  3 Si 2.37



Record 12
The following is a DFT calculation (PBE-GGA) of a relaxed structure of Er2TmIn.

Values from the calculation:
The calculation puts the energy at -4.21 eV/atom. The crystal system is cubic. The value obtained for the energy above the most stable polymorph in this dataset is 0.139 eV/atom. The formation energy from the elements is -0.49 eV per formula unit. The value obtained for the theoretical density is 9.25 g cm⁻³.

Unit cell a=5.3934 b=5.3934 c=5.3934 alpha=60.00 beta=60.00 gamma=60.00
Closest atoms and distances in Å follow each position.
Element x y z (fractional)
Er 0.2500 0.2500 0.2500  4 In 3.30, 4 Tm 3.30
Er 0.7500 0.7500 0.7500  4 In 3.30, 4 Tm 3.30
Tm 0.0000 0.0000 0.0000  8 Er 3.30
In 0.5000 0.5000 0.5000  8 Er 3.30